1.
The following is a DFT calculation (PBE) of a relaxed LaHW2N crystal.

Results
**Final energy**: -7.809 eV/atom
**Calculated volume**: 16.44 Å³/atom
**Magnetic moment**: 0.00 μB per formula unit
**SG**: P4/mmm, No. 123

The structure in POSCAR format:
```
LaHW2N
1.0
-1.236 -1.831 2.987
-0.176 -3.130 -1.992
5.609 -1.289 1.530
N W H La
1 2 1 1
Direct
0.000 0.000 0.500
0.500 0.000 0.000
0.000 0.500 0.000
0.000 0.000 0.000
0.500 0.500 0.500
```

***

2.
The following is a DFT calculation (PBE) of a relaxed LaHWN2 crystal.

Results
**Final energy**: -8.408 eV/atom
**Calculated volume**: 12.21 Å³/atom
**Magnetic moment**: 0.01 μB per formula unit
**SG**: P4/mmm, No. 123

The structure in POSCAR format:
```
LaHWN2
1.0
-2.655 -0.194 -3.078
-1.576 -3.405 1.575
-2.402 2.011 1.945
La N W H
1 2 1 1
Direct
0.500 0.500 0.500
0.000 0.500 0.000
0.500 0.000 0.000
0.000 0.000 0.000
0.000 0.000 0.500
```

***

3.
The following is a DFT calculation (PBE) of a relaxed NaLa3H3 crystal.

Results
**Final energy**: -3.933 eV/atom
**Calculated volume**: 23.27 Å³/atom
**Magnetic moment**: 2.54 μB per formula unit
**SG**: Pm-3n, No. 223

The structure in POSCAR format:
```
NaLa3H3
1.0
6.880 0.000 0.000
0.000 6.880 0.000
0.000 0.000 6.880
La H Na
6 6 2
Direct
0.500 0.000 0.750
0.250 0.500 0.000
0.000 0.750 0.500
0.000 0.250 0.500
0.500 0.000 0.250
0.750 0.500 0.000
0.000 0.500 0.750
0.000 0.500 0.250
0.500 0.250 0.000
0.750 0.000 0.500
0.250 0.000 0.500
0.500 0.750 0.000
0.000 0.000 0.000
0.500 0.500 0.500
```